Entry i
AcPr2Dy: relaxed, PBE-GGA.

Lattice parameters (Å, degrees): 12.335 12.335 12.335 17.53 17.53 17.53
Fractional coordinates of all 4 atoms:
Ac 0.000 0.000 0.000
Pr 0.246 0.246 0.246
Pr 0.754 0.754 0.754
Dy 0.500 0.500 0.500

Summary:
DOS(E_F) = 5.7 states/eV per cell

---

Entry ii
AcPr2Dy: relaxed, PBE-GGA.

Lattice parameters (Å, degrees): 5.957 5.957 5.957 60.00 60.00 60.00
Fractional coordinates of all 4 atoms:
Ac 0.000 0.000 0.000
Pr 0.250 0.250 0.250
Pr 0.750 0.750 0.750
Dy 0.500 0.500 0.500

Summary:
DOS(E_F) = 9.9 states/eV per cell

---

Most stable: entry i. Least stable: entry ii.

---

Entry i
Ac2PrDy: relaxed, PBE-GGA.

Lattice parameters (Å, degrees): 3.875 3.875 10.382 90.00 90.00 90.00
Fractional coordinates of all 4 atoms:
Ac 0.000 0.000 0.244
Ac 0.000 0.000 0.756
Pr 0.500 0.500 0.500
Dy 0.500 0.500 0.000

Summary:
DOS(E_F) = 7.0 states/eV per cell

---

Entry ii
Ac2PrDy: relaxed, PBE-GGA.

Lattice parameters (Å, degrees): 13.379 13.379 13.379 16.07 16.07 16.07
Fractional coordinates of all 4 atoms:
Ac 0.087 0.087 0.087
Ac 0.913 0.913 0.913
Pr 0.500 0.500 0.500
Dy 0.000 0.000 0.000

Summary:
DOS(E_F) = 7.0 states/eV per cell

---

Entry iii
Ac2PrDy: relaxed, PBE-GGA.

Lattice parameters (Å, degrees): 5.435 5.435 5.263 90.00 90.00 90.00
Fractional coordinates of all 4 atoms:
Ac 0.000 0.500 0.000
Ac 0.500 0.000 0.000
Pr 0.000 0.000 0.500
Dy 0.500 0.500 0.500

Summary:
DOS(E_F) = 5.8 states/eV per cell

---

Most stable: entry iii. Least stable: entry ii.

---

Entry i
AcPrDyY: relaxed, PBE-GGA.

Lattice parameters (Å, degrees): 5.896 5.896 5.896 60.00 60.00 60.00
Fractional coordinates of all 4 atoms:
Ac 0.000 0.000 0.000
Pr 0.500 0.500 0.500
Dy 0.750 0.750 0.750
Y 0.250 0.250 0.250

Summary:
DOS(E_F) = 7.3 states/eV per cell

---

Entry ii
AcPrDyY: relaxed, PBE-GGA.

Lattice parameters (Å, degrees): 7.083 7.083 3.926 106.08 106.08 50.65
Fractional coordinates of all 4 atoms:
Ac 0.000 0.000 0.000
Pr 0.731 0.731 0.229
Dy 0.491 0.491 0.490
Y 0.259 0.259 0.756

Summary:
DOS(E_F) = 7.4 states/eV per cell

---

Most stable: entry i. Least stable: entry ii.